No. 1
# YCrCl2 PBE relaxed
# * E_form (uncorrected): -599 meV per atom
# * DOS(E_F): 0.23 states/eV/f.u.
# * theoretical density: 3392 kg/m³
# * energy relative to the lowest polymorph listed for this composition: 219.3 meV per atom
data_YCrCl2
_symmetry_space_group_name_H-M 'R -3 m'
_symmetry_Int_Tables_number 166
_symmetry_space_group_name_Hall '-R 3 2"'
_cell_length_a 3.8000
_cell_length_b 3.8000
_cell_length_c 24.8753
_cell_angle_alpha 90.00
_cell_angle_beta 90.00
_cell_angle_gamma 120.00
loop_
_atom_site_label
_atom_site_fract_x
_atom_site_fract_y
_atom_site_fract_z
_atom_site_occupancy
Y1 0.0000 0.0000 0.0000 1
Cr1 0.0000 0.0000 0.5000 1
Cl1 0.0000 0.0000 0.1081 1

No. 2
# Al2Ru2Au PBE relaxed
# * formation enthalpy at 0 K: -0.26 eV per atom
# * DOS(E_F): 3.75 states/eV/f.u.
# * theoretical density: 9772 kg/m³
# * energy relative to the lowest polymorph listed for this composition: 52.1 meV per atom
data_Al2Ru2Au
_symmetry_space_group_name_H-M 'P 4/m b m'
_symmetry_Int_Tables_number 127
_symmetry_space_group_name_Hall '-P 4 2ab'
_cell_length_a 6.979
_cell_length_b 6.979
_cell_length_c 3.161
_cell_angle_alpha 90.00
_cell_angle_beta 90.00
_cell_angle_gamma 90.00
loop_
_atom_site_label
_atom_site_fract_x
_atom_site_fract_y
_atom_site_fract_z
_atom_site_occupancy
Al1 0.163 0.337 0.000 1
Ru1 0.135 0.635 0.500 1
Au1 0.000 0.000 0.500 1

No. 3
# NiSb8Pd2 PBE relaxed
# * E_form (uncorrected): -18 meV per atom
# * DOS(E_F): 6.00 states/eV/f.u.
# * theoretical density: 6898 kg/m³
data_NiSb8Pd2
_symmetry_space_group_name_H-M 'P -1'
_symmetry_Int_Tables_number 2
_symmetry_space_group_name_Hall '-P 1'
_cell_length_a 4.897
_cell_length_b 8.497
_cell_length_c 8.517
_cell_angle_alpha 60.51
_cell_angle_beta 77.77
_cell_angle_gamma 89.01
loop_
_atom_site_label
_atom_site_fract_x
_atom_site_fract_y
_atom_site_fract_z
_atom_site_occupancy
Ni1 0.000 0.000 0.000 1
Sb1 0.125 0.598 0.804 1
Sb2 0.265 0.698 0.185 1
Sb3 0.279 0.132 0.156 1
Sb4 0.345 0.154 0.684 1
Pd1 0.329 0.328 0.332 1

No. 4
# K2Sm2I7 PBE relaxed
# * E_form (uncorrected): -1271 meV per atom
# * DOS(E_F): 3.96 states/eV/f.u.
# * theoretical density: 4045 kg/m³
data_K2Sm2I7
_symmetry_space_group_name_H-M 'C 1 2/m 1'
_symmetry_Int_Tables_number 12
_symmetry_space_group_name_Hall '-C 2y'
_cell_length_a 13.634
_cell_length_b 9.527
_cell_length_c 8.020
_cell_angle_alpha 90.00
_cell_angle_beta 92.87
_cell_angle_gamma 90.00
loop_
_atom_site_label
_atom_site_fract_x
_atom_site_fract_y
_atom_site_fract_z
_atom_site_occupancy
K1 0.000 0.246 0.000 1
Sm1 0.236 0.000 0.545 1
I1 0.000 0.000 0.500 1
I2 0.063 0.500 0.282 1
I3 0.214 0.286 0.743 1

No. 5
# Mo2PbCl PBE relaxed
# * E_form (uncorrected): 945 meV per atom
# * DOS(E_F): 4.06 states/eV/f.u.
# * theoretical density: 9686 kg/m³
# * energy relative to the lowest polymorph listed for this composition: 878.9 meV per atom
data_Mo2PbCl
_symmetry_space_group_name_H-M 'I -4 m 2'
_symmetry_Int_Tables_number 119
_symmetry_space_group_name_Hall 'I -4 -2'
_cell_length_a 4.335
_cell_length_b 4.335
_cell_length_c 7.928
_cell_angle_alpha 90.00
_cell_angle_beta 90.00
_cell_angle_gamma 90.00
loop_
_atom_site_label
_atom_site_fract_x
_atom_site_fract_y
_atom_site_fract_z
_atom_site_occupancy
Mo1 0.000 0.000 0.000 1
Mo2 0.000 0.500 0.250 1
Pb1 0.000 0.500 0.750 1
Cl1 0.000 0.000 0.500 1

No. 6
# SiW2 PBE relaxed
# * E_form (uncorrected): 749 meV per atom
# * DOS(E_F): 2.09 states/eV/f.u.
# * theoretical density: 13144 kg/m³
# * energy relative to the lowest polymorph listed for this composition: 899.0 meV per atom
data_SiW2
_symmetry_space_group_name_H-M 'P a -3'
_symmetry_Int_Tables_number 205
_symmetry_space_group_name_Hall '-P 2ac 2ab 3'
_cell_length_a 5.848
_cell_length_b 5.848
_cell_length_c 5.848
_cell_angle_alpha 90.00
_cell_angle_beta 90.00
_cell_angle_gamma 90.00
loop_
_atom_site_label
_atom_site_fract_x
_atom_site_fract_y
_atom_site_fract_z
_atom_site_occupancy
Si1 0.000 0.000 0.000 1
W1 0.131 0.631 0.869 1

No. 7
# BaSr2Cu PBE relaxed
# * formation enthalpy at 0 K: 0.03 eV per atom
# * DOS(E_F): 4.28 states/eV/f.u.
# * theoretical density: 3748 kg/m³
# * energy relative to the lowest polymorph listed for this composition: 31.1 meV per atom
data_BaSr2Cu
_symmetry_space_group_name_H-M 'P 4 m m'
_symmetry_Int_Tables_number 99
_symmetry_space_group_name_Hall 'P 4 -2'
_cell_length_a 4.013
_cell_length_b 4.013
_cell_length_c 10.350
_cell_angle_alpha 90.00
_cell_angle_beta 90.00
_cell_angle_gamma 90.00
loop_
_atom_site_label
_atom_site_fract_x
_atom_site_fract_y
_atom_site_fract_z
_atom_site_occupancy
Ba1 0.000 0.000 0.000 1
Sr1 0.000 0.000 0.356 1
Sr2 0.500 0.500 0.668 1
Cu1 0.500 0.500 0.189 1

No. 8
# Lu2PIr PBE relaxed
# * formation enthalpy at 0 K: -0.97 eV per atom
# * DOS(E_F): 0.47 states/eV/f.u.
# * theoretical density: 11009 kg/m³
data_Lu2PIr
_symmetry_space_group_name_H-M 'R -3 m'
_symmetry_Int_Tables_number 166
_symmetry_space_group_name_Hall '-R 3 2"'
_cell_length_a 3.9189
_cell_length_b 3.9189
_cell_length_c 19.4991
_cell_angle_alpha 90.00
_cell_angle_beta 90.00
_cell_angle_gamma 120.00
loop_
_atom_site_label
_atom_site_fract_x
_atom_site_fract_y
_atom_site_fract_z
_atom_site_occupancy
Lu1 0.0000 0.0000 0.2493 1
P1 0.0000 0.0000 0.5000 1
Ir1 0.0000 0.0000 0.0000 1

Number 1: total moment 1.2500 μB/atom. Number 2: total moment 0.0000 μB/atom. Number 3: total moment 0.0000 μB/atom. Number 4: total moment 0.0837 μB/atom. Number 5: total moment 0.0150 μB/atom. Number 6: total moment 0.0000 μB/atom. Number 7: total moment 0.0000 μB/atom. Number 8: total moment 0.0000 μB/atom.